A relaxed MoOsNO2 crystal. Source: the Alexandria database, functional PBE with a Hubbard U.

Computed properties:
space group: P4/mmm
E: -7.179 eV per atom

Unit cell a=4.023 b=4.023 c=3.794 alpha=90.00 beta=90.00 gamma=90.00
Positions (direct):
1 Mo 0.000 0.000 0.000
2 Os 0.500 0.500 0.500
3 N 0.500 0.500 0.000
4 O 0.000 0.500 0.500
5 O 0.500 0.000 0.500